Below is an optimized crystal structure of LaZnSnHg, with properties calculated at the GGA-PBE level.

```
data_LaZnSnHg
_chemical_formula_sum 'La1 Zn1 Sn1 Hg1'
_cell_length_a 5.218
_cell_length_b 5.218
_cell_length_c 5.218
_cell_angle_alpha 60.00
_cell_angle_beta 60.00
_cell_angle_gamma 60.00
_space_group_name_H-M_alt 'P 1'
_space_group_IT_number 1
loop_
_space_group_symop_operation_xyz
'x,y,z'
loop_
_atom_site_label
_atom_site_fract_x
_atom_site_fract_y
_atom_site_fract_z
Zn1 0.500 0.500 0.500
Hg1 0.000 0.000 0.000
Sn1 0.250 0.250 0.250
La1 0.750 0.750 0.750
```


Below is an optimized crystal structure of LaZrSnHg, with properties calculated at the GGA-PBE level.

```
data_LaZrSnHg
_chemical_formula_sum 'La1 Zr1 Sn1 Hg1'
_cell_length_a 5.288
_cell_length_b 5.288
_cell_length_c 5.288
_cell_angle_alpha 60.00
_cell_angle_beta 60.00
_cell_angle_gamma 60.00
_space_group_name_H-M_alt 'P 1'
_space_group_IT_number 1
loop_
_space_group_symop_operation_xyz
'x,y,z'
loop_
_atom_site_label
_atom_site_fract_x
_atom_site_fract_y
_atom_site_fract_z
Zr1 0.500 0.500 0.500
Hg1 0.750 0.750 0.750
Sn1 0.250 0.250 0.250
La1 0.000 0.000 0.000
```


Below is an optimized crystal structure of Sr2LaHg3, with properties calculated at the GGA-PBE level.

```
data_Sr2LaHg3
_chemical_formula_sum 'Sr4 La2 Hg6'
_cell_length_a 5.582
_cell_length_b 8.841
_cell_length_c 8.026
_cell_angle_alpha 90.00
_cell_angle_beta 89.99
_cell_angle_gamma 71.60
_space_group_name_H-M_alt 'P 1'
_space_group_IT_number 1
loop_
_space_group_symop_operation_xyz
'x,y,z'
loop_
_atom_site_label
_atom_site_fract_x
_atom_site_fract_y
_atom_site_fract_z
Sr1 0.000 0.000 0.000
Sr2 0.000 0.000 0.500
Sr3 0.333 0.333 0.500
Sr4 0.667 0.667 0.500
La1 0.335 0.329 0.000
La2 0.665 0.671 0.000
Hg1 0.830 0.340 0.764
Hg2 0.499 0.000 0.243
Hg3 0.170 0.660 0.236
Hg4 0.830 0.340 0.236
Hg5 0.170 0.660 0.764
Hg6 0.501 0.000 0.757
```


Below is an optimized crystal structure of Sr4LaHg5, with properties calculated at the GGA-PBE level.

```
data_Sr4LaHg5
_chemical_formula_sum 'Sr4 La1 Hg5'
_cell_length_a 3.989
_cell_length_b 3.989
_cell_length_c 19.882
_cell_angle_alpha 90.00
_cell_angle_beta 90.00
_cell_angle_gamma 90.00
_space_group_name_H-M_alt 'P 1'
_space_group_IT_number 1
loop_
_space_group_symop_operation_xyz
'x,y,z'
loop_
_atom_site_label
_atom_site_fract_x
_atom_site_fract_y
_atom_site_fract_z
Sr1 0.000 0.000 0.197
Sr2 0.000 0.000 0.399
Sr3 0.000 0.000 0.601
Sr4 0.000 0.000 0.803
La1 0.000 0.000 0.000
Hg1 0.500 0.500 0.093
Hg2 0.500 0.500 0.298
Hg3 0.500 0.500 0.500
Hg4 0.500 0.500 0.702
Hg5 0.500 0.500 0.907
```


Below is an optimized crystal structure of Sr2LaHg, with properties calculated at the GGA-PBE level.

```
data_Sr2LaHg
_chemical_formula_sum 'Sr2 La1 Hg1'
_cell_length_a 6.376
_cell_length_b 6.376
_cell_length_c 3.948
_cell_angle_alpha 90.02
_cell_angle_beta 90.02
_cell_angle_gamma 108.58
_space_group_name_H-M_alt 'P 1'
_space_group_IT_number 1
loop_
_space_group_symop_operation_xyz
'x,y,z'
loop_
_atom_site_label
_atom_site_fract_x
_atom_site_fract_y
_atom_site_fract_z
Hg1 0.500 0.000 0.500
La1 0.000 0.500 0.500
Sr1 0.000 0.000 0.000
Sr2 0.500 0.500 0.000
```


Below is an optimized crystal structure of Sr2LaHg, with properties calculated at the GGA-PBE level.

```
data_Sr2LaHg
_chemical_formula_sum 'Sr2 La1 Hg1'
_cell_length_a 6.756
_cell_length_b 6.756
_cell_length_c 6.756
_cell_angle_alpha 135.84
_cell_angle_beta 135.84
_cell_angle_gamma 64.23
_space_group_name_H-M_alt 'P 1'
_space_group_IT_number 1
loop_
_space_group_symop_operation_xyz
'x,y,z'
loop_
_atom_site_label
_atom_site_fract_x
_atom_site_fract_y
_atom_site_fract_z
Hg1 0.250 0.750 0.500
La1 0.750 0.250 0.500
Sr1 0.000 0.000 0.000
Sr2 0.500 0.500 0.000
```


Below is an optimized crystal structure of Sr2LaHg, with properties calculated at the GGA-PBE level.

```
data_Sr2LaHg
_chemical_formula_sum 'Sr2 La1 Hg1'
_cell_length_a 3.983
_cell_length_b 3.984
_cell_length_c 10.205
_cell_angle_alpha 90.00
_cell_angle_beta 90.00
_cell_angle_gamma 90.00
_space_group_name_H-M_alt 'P 1'
_space_group_IT_number 1
loop_
_space_group_symop_operation_xyz
'x,y,z'
loop_
_atom_site_label
_atom_site_fract_x
_atom_site_fract_y
_atom_site_fract_z
Sr1 0.000 0.000 0.983
Sr2 0.500 0.500 0.314
Hg1 0.000 0.000 0.515
La1 0.500 0.500 0.689
```


Below is an optimized crystal structure of Sr2LaHg, with properties calculated at the GGA-PBE level.

```
data_Sr2LaHg
_chemical_formula_sum 'Sr2 La1 Hg1'
_cell_length_a 7.416
_cell_length_b 7.416
_cell_length_c 7.416
_cell_angle_alpha 148.51
_cell_angle_beta 131.66
_cell_angle_gamma 58.83
_space_group_name_H-M_alt 'P 1'
_space_group_IT_number 1
loop_
_space_group_symop_operation_xyz
'x,y,z'
loop_
_atom_site_label
_atom_site_fract_x
_atom_site_fract_y
_atom_site_fract_z
Hg1 0.495 0.495 0.000
La1 0.301 0.801 0.500
Sr1 0.000 0.000 0.000
Sr2 0.704 0.204 0.500
```


Below is an optimized crystal structure of Sr2LaHg, with properties calculated at the GGA-PBE level.

```
data_Sr2LaHg
_chemical_formula_sum 'Sr4 La2 Hg2'
_cell_length_a 9.770
_cell_length_b 9.770
_cell_length_c 7.738
_cell_angle_alpha 50.85
_cell_angle_beta 50.85
_cell_angle_gamma 90.00
_space_group_name_H-M_alt 'P 1'
_space_group_IT_number 1
loop_
_space_group_symop_operation_xyz
'x,y,z'
loop_
_atom_site_label
_atom_site_fract_x
_atom_site_fract_y
_atom_site_fract_z
Sr1 0.690 0.125 0.250
Sr2 0.060 0.625 0.250
Sr3 0.375 0.310 0.750
Sr4 0.875 0.940 0.750
Hg1 0.000 0.000 0.000
Hg2 0.750 0.250 0.500
La1 0.500 0.500 0.000
La2 0.250 0.750 0.500
```


Below is an optimized crystal structure of Sr2LaHg6, with properties calculated at the GGA-PBE level.

```
data_Sr2LaHg6
_chemical_formula_sum 'Sr2 La1 Hg6'
_cell_length_a 3.719
_cell_length_b 8.881
_cell_length_c 8.881
_cell_angle_alpha 120.00
_cell_angle_beta 90.00
_cell_angle_gamma 90.00
_space_group_name_H-M_alt 'P 1'
_space_group_IT_number 1
loop_
_space_group_symop_operation_xyz
'x,y,z'
loop_
_atom_site_label
_atom_site_fract_x
_atom_site_fract_y
_atom_site_fract_z
Sr1 0.000 0.333 0.667
Sr2 0.000 0.667 0.333
La1 0.000 0.000 0.000
Hg1 0.500 0.333 0.333
Hg2 0.500 0.667 0.667
Hg3 0.500 0.000 0.667
Hg4 0.500 0.667 0.000
Hg5 0.500 0.333 0.000
Hg6 0.500 0.000 0.333
```


Below is an optimized crystal structure of SrLaHg2, with properties calculated at the GGA-PBE level.

```
data_SrLaHg2
_chemical_formula_sum 'Sr1 La1 Hg2'
_cell_length_a 4.237
_cell_length_b 4.237
_cell_length_c 9.271
_cell_angle_alpha 76.79
_cell_angle_beta 76.79
_cell_angle_gamma 60.00
_space_group_name_H-M_alt 'P 1'
_space_group_IT_number 1
loop_
_space_group_symop_operation_xyz
'x,y,z'
loop_
_atom_site_label
_atom_site_fract_x
_atom_site_fract_y
_atom_site_fract_z
Sr1 0.500 0.500 0.501
La1 0.667 0.667 0.000
Hg1 0.081 0.081 0.758
Hg2 0.253 0.253 0.242
```


Below is an optimized crystal structure of Sr2LaHg, with properties calculated at the GGA-PBE level.

```
data_Sr2LaHg
_chemical_formula_sum 'Sr2 La1 Hg1'
_cell_length_a 11.667
_cell_length_b 11.667
_cell_length_c 11.667
_cell_angle_alpha 20.07
_cell_angle_beta 20.07
_cell_angle_gamma 20.07
_space_group_name_H-M_alt 'P 1'
_space_group_IT_number 1
loop_
_space_group_symop_operation_xyz
'x,y,z'
loop_
_atom_site_label
_atom_site_fract_x
_atom_site_fract_y
_atom_site_fract_z
Hg1 0.250 0.250 0.250
La1 0.750 0.750 0.750
Sr1 0.987 0.987 0.987
Sr2 0.513 0.513 0.513
```


Record order is preserved below.
Electronic total energy: -12.0, -19.1, -24.7, -18.5, -8.7, -8.6, -9.5, -9.3, -17.1, -14.4, -8.7, -9.0 eV for the cell shown
Record order is preserved below.
E_form: -1.49, -1.36, -3.17, -5.29, -0.12, -0.04, -0.88, -0.68, 0.06, -4.28, -1.49, -0.37 eV/f.u.
Record order is preserved below.
Magnetization: 0.00, 0.73, 0.00, 0.00, 0.00, 0.00, 0.39, 0.00, 0.86, 0.00, 0.00, 0.25 μB/f.u.